(1)
A plane-wave DFT calculation with PBE-GGA was carried out for an optimized crystal structure of Np3S5F.

The structure in CIF format:
```
data_Np3S5F
_chemical_formula_sum 'Np6 S10 F2'
_symmetry_space_group_name_H-M 'P 1'
_symmetry_Int_Tables_number 1
_cell_length_a 7.278
_cell_length_b 7.278
_cell_length_c 9.057
_cell_angle_alpha 76.13
_cell_angle_beta 76.13
_cell_angle_gamma 74.55
loop_
_symmetry_equiv_pos_as_xyz
'x,y,z'
loop_
_atom_site_label
_atom_site_type_symbol
_atom_site_fract_x
_atom_site_fract_y
_atom_site_fract_z
_atom_site_occupancy
F1 F 0.936 0.936 0.277 1
S1 S 0.008 0.373 0.377 1
Np1 Np 0.337 0.337 0.160 1
S2 S 0.517 0.517 0.667 1
S3 S 0.373 0.008 0.377 1
S4 S 0.302 0.698 0.000 1
Np2 Np 0.663 0.663 0.840 1
S5 S 0.239 0.239 0.926 1
Np3 Np 0.306 0.306 0.597 1
Np4 Np 0.000 0.000 0.000 1
S6 S 0.483 0.483 0.333 1
S7 S 0.761 0.761 0.074 1
S8 S 0.698 0.302 0.000 1
S9 S 0.992 0.627 0.623 1
S10 S 0.627 0.992 0.623 1
Np5 Np 0.000 0.000 0.500 1
Np6 Np 0.694 0.694 0.403 1
F2 F 0.064 0.064 0.723 1
```

Properties
- Total moment: 0.75 μB/atom
- Formation energy without anion corrections: -1.501 eV per atom

(2)
A plane-wave DFT calculation with PBE-GGA was carried out for an optimized crystal structure of Ba2OsW.

The structure in CIF format:
```
data_Ba2OsW
_chemical_formula_sum 'Ba2 Os1 W1'
_symmetry_space_group_name_H-M 'P 1'
_symmetry_Int_Tables_number 1
_cell_length_a 5.498
_cell_length_b 3.130
_cell_length_c 6.102
_cell_angle_alpha 70.53
_cell_angle_beta 90.00
_cell_angle_gamma 90.00
loop_
_symmetry_equiv_pos_as_xyz
'x,y,z'
loop_
_atom_site_label
_atom_site_type_symbol
_atom_site_fract_x
_atom_site_fract_y
_atom_site_fract_z
_atom_site_occupancy
Ba1 Ba 0.000 0.403 0.493 1
Os1 Os 0.500 0.250 0.250 1
Ba2 Ba 0.000 0.097 0.007 1
W1 W 0.500 0.750 0.750 1
```

Properties
- Total moment: 0.01 μB/atom
- Offset from the most stable computed form: 1.2032 eV/atom

(3)
A plane-wave DFT calculation with PBE-GGA was carried out for an optimized crystal structure of AcTbS4.

The structure in CIF format:
```
data_AcTbS4
_chemical_formula_sum 'Ac2 Tb2 S8'
_symmetry_space_group_name_H-M 'P 1'
_symmetry_Int_Tables_number 1
_cell_length_a 7.215
_cell_length_b 7.826
_cell_length_c 7.397
_cell_angle_alpha 117.81
_cell_angle_beta 114.84
_cell_angle_gamma 97.35
loop_
_symmetry_equiv_pos_as_xyz
'x,y,z'
loop_
_atom_site_label
_atom_site_type_symbol
_atom_site_fract_x
_atom_site_fract_y
_atom_site_fract_z
_atom_site_occupancy
S1 S 0.347 0.983 0.649 1
S2 S 0.030 0.801 0.135 1
S3 S 0.653 0.017 0.351 1
S4 S 0.198 0.334 0.351 1
Tb1 Tb 0.235 0.985 0.969 1
S5 S 0.970 0.199 0.865 1
S6 S 0.802 0.666 0.649 1
S7 S 0.395 0.666 0.865 1
Ac1 Ac 0.622 0.372 0.745 1
S8 S 0.605 0.334 0.135 1
Tb2 Tb 0.765 0.015 0.031 1
Ac2 Ac 0.378 0.628 0.255 1
```

Properties
- Total moment: 0.00 μB/atom
- Formation energy without anion corrections: -1.571 eV per atom

(4)
A plane-wave DFT calculation with PBE-GGA was carried out for an optimized crystal structure of TiSiPdRu.

The structure in CIF format:
```
data_TiSiPdRu
_chemical_formula_sum 'Ti1 Si1 Pd1 Ru1'
_symmetry_space_group_name_H-M 'P 1'
_symmetry_Int_Tables_number 1
_cell_length_a 4.316
_cell_length_b 4.316
_cell_length_c 4.316
_cell_angle_alpha 60.00
_cell_angle_beta 60.00
_cell_angle_gamma 60.00
loop_
_symmetry_equiv_pos_as_xyz
'x,y,z'
loop_
_atom_site_label
_atom_site_type_symbol
_atom_site_fract_x
_atom_site_fract_y
_atom_site_fract_z
_atom_site_occupancy
Ru1 Ru 0.000 0.000 0.000 1
Pd1 Pd 0.500 0.500 0.500 1
Ti1 Ti 0.750 0.750 0.750 1
Si1 Si 0.250 0.250 0.250 1
```

Properties
- Total moment: 0.00 μB/atom
- Formation energy without anion corrections: -0.589 eV per atom

(5)
A plane-wave DFT calculation with PBE-GGA was carried out for an optimized crystal structure of CaMg2Re.

The structure in CIF format:
```
data_CaMg2Re
_chemical_formula_sum 'Ca1 Mg2 Re1'
_symmetry_space_group_name_H-M 'P 1'
_symmetry_Int_Tables_number 1
_cell_length_a 4.861
_cell_length_b 4.861
_cell_length_c 4.861
_cell_angle_alpha 60.00
_cell_angle_beta 60.00
_cell_angle_gamma 60.00
loop_
_symmetry_equiv_pos_as_xyz
'x,y,z'
loop_
_atom_site_label
_atom_site_type_symbol
_atom_site_fract_x
_atom_site_fract_y
_atom_site_fract_z
_atom_site_occupancy
Mg1 Mg 0.250 0.250 0.250 1
Re1 Re 0.500 0.500 0.500 1
Mg2 Mg 0.750 0.750 0.750 1
Ca1 Ca 0.000 0.000 0.000 1
```

Properties
- Total moment: 0.17 μB/atom
- Offset from the most stable computed form: 0.1053 eV/atom

(6)
A plane-wave DFT calculation with PBE-GGA was carried out for an optimized crystal structure of TaRe4.

The structure in CIF format:
```
data_TaRe4
_chemical_formula_sum 'Ta1 Re4'
_symmetry_space_group_name_H-M 'P 1'
_symmetry_Int_Tables_number 1
_cell_length_a 4.872
_cell_length_b 4.872
_cell_length_c 4.872
_cell_angle_alpha 99.43
_cell_angle_beta 99.43
_cell_angle_gamma 132.25
loop_
_symmetry_equiv_pos_as_xyz
'x,y,z'
loop_
_atom_site_label
_atom_site_type_symbol
_atom_site_fract_x
_atom_site_fract_y
_atom_site_fract_z
_atom_site_occupancy
Re1 Re 0.408 0.803 0.212 1
Ta1 Ta 0.000 0.000 0.000 1
Re2 Re 0.197 0.408 0.605 1
Re3 Re 0.803 0.592 0.395 1
Re4 Re 0.592 0.197 0.788 1
```

Properties
- Total moment: 0.00 μB/atom
- Offset from the most stable computed form: 0.0000 eV/atom

(7)
A plane-wave DFT calculation with PBE-GGA was carried out for an optimized crystal structure of BaYSc2Ir.

The structure in CIF format:
```
data_BaYSc2Ir
_chemical_formula_sum 'Ba1 Y1 Sc2 Ir1'
_symmetry_space_group_name_H-M 'P 1'
_symmetry_Int_Tables_number 1
_cell_length_a 5.256
_cell_length_b 5.256
_cell_length_c 5.516
_cell_angle_alpha 90.00
_cell_angle_beta 90.00
_cell_angle_gamma 90.00
loop_
_symmetry_equiv_pos_as_xyz
'x,y,z'
loop_
_atom_site_label
_atom_site_type_symbol
_atom_site_fract_x
_atom_site_fract_y
_atom_site_fract_z
_atom_site_occupancy
Ir1 Ir 0.000 0.000 0.000 1
Y1 Y 0.000 0.000 0.500 1
Sc1 Sc 0.500 0.000 0.000 1
Ba1 Ba 0.500 0.500 0.500 1
Sc2 Sc 0.000 0.500 0.000 1
```

Properties
- Uncorrected energy: -6.28 eV/atom
- Total moment: 0.00 μB/atom

(8)
A plane-wave DFT calculation with PBE-GGA was carried out for an optimized crystal structure of GeO2.

The structure in CIF format:
```
data_GeO2
_chemical_formula_sum 'Ge4 O8'
_symmetry_space_group_name_H-M 'P 1'
_symmetry_Int_Tables_number 1
_cell_length_a 4.765
_cell_length_b 4.765
_cell_length_c 4.765
_cell_angle_alpha 90.00
_cell_angle_beta 90.00
_cell_angle_gamma 90.00
loop_
_symmetry_equiv_pos_as_xyz
'x,y,z'
loop_
_atom_site_label
_atom_site_type_symbol
_atom_site_fract_x
_atom_site_fract_y
_atom_site_fract_z
_atom_site_occupancy
O1 O 0.657 0.843 0.157 1
O2 O 0.657 0.657 0.657 1
O3 O 0.157 0.657 0.843 1
O4 O 0.343 0.157 0.843 1
Ge1 Ge 0.500 0.000 0.500 1
O5 O 0.843 0.157 0.657 1
Ge2 Ge 0.500 0.500 0.000 1
O6 O 0.843 0.343 0.157 1
O7 O 0.157 0.843 0.343 1
Ge3 Ge 0.000 0.000 0.000 1
Ge4 Ge 0.000 0.500 0.500 1
O8 O 0.343 0.343 0.343 1
```

Properties
- Total moment: 0.00 μB/atom
- Formation energy without anion corrections: -1.387 eV per atom